Re3As | GGA-PBE | optimized geometry

The total magnetization is 0.00 μB/cell. Its energy above the most stable polymorph in this dataset is 0 kJ/mol of formula units. The calculated formation energy comes out at 0.158 eV per atom.

Unit cell a=2.9712 b=2.9712 c=6.6943 alpha=90.00 beta=90.00 gamma=90.00
With the nearest neighbours (Å) after each atom.
Space group P4/mmm (No. 123)
Inequivalent atoms, fractional coordinates:
Re1 0.0000 0.0000 0.0000  12 Re 2.73-2.97
Re2 0.5000 0.5000 0.2612  4 As 2.64, 4 Re 2.73
As1 0.0000 0.0000 0.5000  8 Re 2.64



La14ErSc | GGA-PBE | optimized geometry

The total magnetization is 0.00 μB/cell. The calculated formation energy comes out at 0.017 eV per atom.

Unit cell a=10.3770 b=10.3897 c=10.4696 alpha=90.00 beta=90.00 gamma=90.00
With the nearest neighbours (Å) after each atom.
Space group Cmmm (No. 65)
Inequivalent atoms, fractional coordinates:
La1 0.0000 0.0000 0.0000  12 La 3.67-3.70
La2 0.0000 0.2467 0.2545  10 La 3.62-3.75, 1 Sc 3.63, 1 Er 3.68
La3 0.0000 0.5000 0.0000  12 La 3.67-3.75
La4 0.2464 0.0000 0.2547  10 La 3.62-3.75, 1 Sc 3.62, 1 Er 3.68
La5 0.2500 0.2500 0.0000  12 La 3.67-3.72
La6 0.2500 0.2500 0.5000  8 La 3.65, 2 Er 3.67, 2 Sc 3.67
Er1 0.0000 0.5000 0.5000  12 La 3.67-3.68
Sc1 0.0000 0.0000 0.5000  12 La 3.62-3.67



SiTc2Sn2 | GGA-PBE | optimized geometry

The total magnetization is 0.00 μB/cell. As for the energy relative to the elements, uncorrected: 0.07 eV per atom.

Unit cell a=6.5240 b=6.5240 c=4.1884 alpha=90.00 beta=90.00 gamma=90.00
With the nearest neighbours (Å) after each atom.
Space group P4/mbm (No. 127)
Inequivalent atoms, fractional coordinates:
Si1 0.0000 0.0000 0.0000  4 Tc 2.47
Tc1 0.1537 0.3463 0.0000  2 Si 2.47, 2 Sn 2.71
Sn1 0.1595 0.6595 0.5000  6 Tc 2.71-2.93, 1 Sn 2.94



- Look up the total magnetization of the third one.
  0.00 μB/cell



- What is the total magnetization in the second record?
  0.00 μB/cell